(1)
Here is Sm6PC2Se3 after structural relaxation from the Alexandria database. Energies are from PBE.

Geometry as CIF:
```
data_Sm6PC2Se3
_chemical_formula_sum 'Sm12 P2 C4 Se6'
_cell_length_a 17.7031
_cell_length_b 3.9562
_cell_length_c 8.2010
_cell_angle_alpha 90.00
_cell_angle_beta 105.46
_cell_angle_gamma 90.00
_space_group_name_H-M_alt 'C 1 2/m 1'
_space_group_IT_number 12
loop_
_space_group_symop_operation_xyz
'x,y,z'
'-x,-y,-z'
'-x,y,-z'
'x,-y,z'
'x+1/2,y+1/2,z'
'-x+1/2,-y+1/2,-z'
'-x+1/2,y+1/2,-z'
'x+1/2,-y+1/2,z'
loop_
_atom_site_label
_atom_site_fract_x
_atom_site_fract_y
_atom_site_fract_z
Sm1 0.0164 0.0000 0.2507
Sm2 0.1675 0.5000 0.1176
Sm3 0.1775 0.5000 0.5599
P1 0.0000 0.5000 0.0000
C1 0.1692 0.0000 0.3359
Se1 0.0000 0.5000 0.5000
Se2 0.1627 0.0000 0.8320
```

Fermi-level density of states in states/eV per cell: 4.80
VASP energy in eV/cell: -156.6

(2)
Here is Sm6P2CSe3 after structural relaxation from the Alexandria database. Energies are from PBE.

Geometry as CIF:
```
data_Sm6P2CSe3
_chemical_formula_sum 'Sm12 P4 C2 Se6'
_cell_length_a 17.9508
_cell_length_b 4.0331
_cell_length_c 8.2882
_cell_angle_alpha 90.00
_cell_angle_beta 104.68
_cell_angle_gamma 90.00
_space_group_name_H-M_alt 'C 1 2/m 1'
_space_group_IT_number 12
loop_
_space_group_symop_operation_xyz
'x,y,z'
'-x,-y,-z'
'-x,y,-z'
'x,-y,z'
'x+1/2,y+1/2,z'
'-x+1/2,-y+1/2,-z'
'-x+1/2,y+1/2,-z'
'x+1/2,-y+1/2,z'
loop_
_atom_site_label
_atom_site_fract_x
_atom_site_fract_y
_atom_site_fract_z
Sm1 0.0016 0.0000 0.2156
Sm2 0.1497 0.5000 0.0840
Sm3 0.1691 0.5000 0.5739
P1 0.1655 0.0000 0.3321
C1 0.0000 0.5000 0.0000
Se1 0.0000 0.5000 0.5000
Se2 0.1698 0.0000 0.8358
```

Fermi-level density of states in states/eV per cell: 7.91
VASP energy in eV/cell: -154.7

(3)
Here is SrPC2Se after structural relaxation from the Alexandria database. Energies are from PBE.

Geometry as CIF:
```
data_SrPC2Se
_chemical_formula_sum 'Sr1 P1 C2 Se1'
_cell_length_a 4.1701
_cell_length_b 4.1701
_cell_length_c 5.9006
_cell_angle_alpha 90.00
_cell_angle_beta 90.00
_cell_angle_gamma 90.00
_space_group_name_H-M_alt 'P 4/m m m'
_space_group_IT_number 123
_space_group_name_Hall '-P 4 2'
loop_
_atom_site_label
_atom_site_fract_x
_atom_site_fract_y
_atom_site_fract_z
Sr1 0.0000 0.0000 0.0000
P1 0.5000 0.5000 0.0000
C1 0.0000 0.5000 0.5000
Se1 0.0000 0.0000 0.5000
```

Polymorph energy (0 for the lowest one) in eV per atom: 0.243
Fermi-level density of states in states/eV per cell: 4.01
VASP energy in eV/cell: -19.8

(4)
Here is SrPC2Se after structural relaxation from the Alexandria database. Energies are from PBE.

Geometry as CIF:
```
data_SrPC2Se
_chemical_formula_sum 'Sr1 P1 C2 Se1'
_cell_length_a 4.2491
_cell_length_b 4.2491
_cell_length_c 4.8926
_cell_angle_alpha 90.00
_cell_angle_beta 90.00
_cell_angle_gamma 90.00
_space_group_name_H-M_alt 'P 4/m m m'
_space_group_IT_number 123
_space_group_name_Hall '-P 4 2'
loop_
_atom_site_label
_atom_site_fract_x
_atom_site_fract_y
_atom_site_fract_z
Sr1 0.0000 0.0000 0.0000
P1 0.5000 0.5000 0.0000
C1 0.0000 0.5000 0.5000
Se1 0.5000 0.5000 0.5000
```

Polymorph energy (0 for the lowest one) in eV per atom: 0.000
Fermi-level density of states in states/eV per cell: 4.15
VASP energy in eV/cell: -21.0

(5)
Here is Tb4PCSe2 after structural relaxation from the Alexandria database. Energies are from PBE.

Geometry as CIF:
```
data_Tb4PCSe2
_chemical_formula_sum 'Tb4 P1 C1 Se2'
_cell_length_a 6.8428
_cell_length_b 3.9133
_cell_length_c 7.0122
_cell_angle_alpha 90.00
_cell_angle_beta 108.69
_cell_angle_gamma 90.00
_space_group_name_H-M_alt 'P 1 2/m 1'
_space_group_IT_number 10
loop_
_space_group_symop_operation_xyz
'x,y,z'
'-x,-y,-z'
'-x,y,-z'
'x,-y,z'
loop_
_atom_site_label
_atom_site_fract_x
_atom_site_fract_y
_atom_site_fract_z
Tb1 0.2209 0.0000 0.2117
Tb2 0.2399 0.5000 0.7806
P1 0.5000 0.0000 0.0000
C1 0.0000 0.5000 0.0000
Se1 0.0000 0.0000 0.5000
Se2 0.5000 0.5000 0.5000
```

Fermi-level density of states in states/eV per cell: 1.68
VASP energy in eV/cell: -51.8

(6)
Here is Tb6P2CSe3 after structural relaxation from the Alexandria database. Energies are from PBE.

Geometry as CIF:
```
data_Tb6P2CSe3
_chemical_formula_sum 'Tb12 P4 C2 Se6'
_cell_length_a 17.6012
_cell_length_b 3.9523
_cell_length_c 8.1266
_cell_angle_alpha 90.00
_cell_angle_beta 104.64
_cell_angle_gamma 90.00
_space_group_name_H-M_alt 'C 1 2/m 1'
_space_group_IT_number 12
loop_
_space_group_symop_operation_xyz
'x,y,z'
'-x,-y,-z'
'-x,y,-z'
'x,-y,z'
'x+1/2,y+1/2,z'
'-x+1/2,-y+1/2,-z'
'-x+1/2,y+1/2,-z'
'x+1/2,-y+1/2,z'
loop_
_atom_site_label
_atom_site_fract_x
_atom_site_fract_y
_atom_site_fract_z
Tb1 0.0017 0.0000 0.2139
Tb2 0.1486 0.5000 0.0839
Tb3 0.1691 0.5000 0.5732
P1 0.1656 0.0000 0.3318
C1 0.0000 0.5000 0.0000
Se1 0.0000 0.5000 0.5000
Se2 0.1699 0.0000 0.8360
```

Fermi-level density of states in states/eV per cell: 7.69
VASP energy in eV/cell: -154.3

Calculated energy relative to the elements, uncorrected (eV per atom), listed in the same order as above: -1.3047 -1.5437 1.8541 1.6112 -1.4591 -1.5745
Calculated total magnetic moment (μB per formula unit), listed in the same order as above: 0.00 0.00 0.00 0.00 0.00 0.00